1.
DFT (PBE) results for crystalline Li3NdSe3 at its relaxed geometry.

```
14
Lattice="3.720 2.148 6.899 -3.720 2.148 6.899 0.000 -4.296 6.899" Properties=species:S:1:pos:R:3 pbc="T T T"
Li -1.098 -2.290 9.428
Li -2.532 -0.194 11.271
Li -1.434 2.096 9.428
Li 1.434 -2.096 11.271
Li 2.532 0.194 9.428
Li 1.098 2.290 11.271
Nd 0.000 0.000 6.907
Nd 0.000 0.000 13.791
Se -2.409 -0.168 8.657
Se -1.059 -2.170 12.042
Se 1.350 -2.003 8.657
Se -1.350 2.003 12.042
Se 1.059 2.170 8.657
Se 2.409 0.168 12.042
```

As for the crystal system: trigonal. The density of states at the Fermi level is 0.00 states/eV per atom. Its uncorrected formation energy is -1.4807 eV per atom.

---

2.
DFT (PBE) results for crystalline Li3Nd5Se8 at its relaxed geometry.

```
16
Lattice="4.183 2.415 6.736 -4.183 2.415 6.736 0.000 -4.830 6.736" Properties=species:S:1:pos:R:3 pbc="T T T"
Li -2.091 -1.207 6.736
Li -2.091 1.207 13.472
Li 0.000 2.415 6.736
Nd 0.000 0.000 0.000
Nd -4.183 0.000 10.104
Nd -2.091 1.207 3.368
Nd 2.091 1.207 3.368
Nd 0.000 0.000 10.104
Se 0.000 -2.368 8.353
Se -2.050 1.184 8.353
Se 0.000 0.000 5.112
Se -2.050 -1.184 11.855
Se 2.050 1.184 8.353
Se 0.000 0.000 15.096
Se 2.050 -1.184 11.855
Se 0.000 2.368 11.855
```

As for the crystal system: trigonal. The density of states at the Fermi level is 0.25 states/eV per atom. Its uncorrected formation energy is -1.7141 eV per atom.

---

3.
DFT (PBE) results for crystalline LiNdSe at its relaxed geometry.

```
6
Lattice="2.485 1.435 7.985 -2.485 1.435 7.985 0.000 -2.869 7.985" Properties=species:S:1:pos:R:3 pbc="T T T"
Li 0.000 0.000 4.206
Li 0.000 0.000 19.750
Nd 0.000 0.000 9.794
Nd 0.000 0.000 14.162
Se 0.000 0.000 6.753
Se 0.000 0.000 17.203
```

As for the crystal system: trigonal. The density of states at the Fermi level is 0.64 states/eV per atom. Its uncorrected formation energy is -0.9730 eV per atom. The energy above the lowest structure with this stoichiometry is 192 meV per atom.

---

4.
DFT (PBE) results for crystalline Li3Nd2SmSe6 at its relaxed geometry.

```
12
Lattice="3.630 -6.287 0.000 3.630 6.287 0.000 -2.418 0.000 6.527" Properties=species:S:1:pos:R:3 pbc="T T T"
Li 0.000 0.000 0.000
Li 3.630 2.084 0.000
Li 3.630 -2.084 0.000
Nd 2.421 4.191 3.264
Nd 2.421 -4.191 3.264
Sm 2.421 0.000 3.264
Se 1.222 2.077 1.572
Se 0.023 0.000 4.951
Se 1.222 -2.077 1.572
Se 3.620 2.077 4.956
Se 4.819 0.000 1.576
Se 3.620 -2.077 4.956
```

As for the crystal system: monoclinic. Its uncorrected formation energy is -1.6665 eV per atom.